No. 1
DFT (GGA-PBE) results for a geometry-optimized TaZnPb structure.

Properties
- VASP energy (Ha/atom) = -0.1737

abc: 6.5978 6.5978 6.5978
angles: 90.00 90.00 90.00
Closest atoms and distances in Å follow each position.
Space group F-43m (No. 216)
Asymmetric unit:
Ta: 0.0000 0.0000 0.0000 x4  4 Zn 2.86, 4 Pb 2.86
Zn: 0.2500 0.2500 0.2500 x4  4 Ta 2.86
Pb: 0.2500 0.2500 0.7500 x4  4 Ta 2.86

***

No. 2
DFT (GGA-PBE) results for a geometry-optimized Hf2In2Sn structure.

Properties
- VASP energy (Ha/atom) = -0.2098

abc: 4.0471 4.0471 14.5744
angles: 90.00 90.00 90.00
Closest atoms and distances in Å follow each position.
Space group I4/mmm (No. 139)
Asymmetric unit:
Hf: 0.0000 0.0000 0.0938 x4  1 Hf 2.73, 4 In 3.05
In: 0.0000 0.5000 0.2500 x4  4 In 2.86, 4 Hf 3.05
Sn: 0.0000 0.0000 0.5000 x2  8 Hf 3.17

***

No. 3
DFT (GGA-PBE) results for a geometry-optimized LiGaFeMo structure.

Properties
- energy above the lowest structure with this stoichiometry (meV per atom) = 0

abc: 5.8272 5.8272 5.8272
angles: 90.00 90.00 90.00
Closest atoms and distances in Å follow each position.
Space group F-43m (No. 216)
Asymmetric unit:
Li: 0.0000 0.0000 0.0000 x4  4 Ga 2.52, 4 Mo 2.52
Ga: 0.2500 0.2500 0.2500 x4  4 Fe 2.52, 4 Li 2.52
Fe: 0.0000 0.0000 0.5000 x4  4 Mo 2.52, 4 Ga 2.52
Mo: 0.2500 0.2500 0.7500 x4  4 Fe 2.52, 4 Li 2.52

***

Q: What is the formula in the second record?
A: Hf2In2Sn